(1)
Entry from the Alexandria database: CsGa4Au7 after structural relaxation (PBE).

Structure (POSCAR):
```
CsGa4Au7
1.0
15.857 0.000 0.000
0.000 4.671 0.000
0.000 0.000 7.833
Cs Ga Au
2 8 14
direct
0.000 0.121 0.000
0.500 0.879 0.500
0.088 0.596 0.344
0.250 0.314 0.512
0.250 0.686 0.012
0.412 0.404 0.844
0.588 0.404 0.844
0.750 0.314 0.512
0.750 0.686 0.012
0.912 0.596 0.344
0.000 0.613 0.643
0.093 0.113 0.520
0.171 0.675 0.725
0.235 0.830 0.334
0.265 0.170 0.834
0.329 0.325 0.225
0.407 0.887 0.020
0.500 0.387 0.143
0.593 0.887 0.020
0.671 0.325 0.225
0.735 0.170 0.834
0.765 0.830 0.334
0.829 0.675 0.725
0.907 0.113 0.520
```

energy relative to the elements: -0.15 eV/atom
VASP energy: -3.14 eV/atom
total magnetic moment: 0.0 μB/f.u.

(2)
Entry from the Alexandria database: La3SmBi4 after structural relaxation (PBE).

Structure (POSCAR):
```
La3SmBi4
1.0
6.603 0.000 0.000
0.000 6.603 0.000
0.000 0.000 6.603
La Sm Bi
3 1 4
direct
0.000 0.000 0.500
0.000 0.500 0.000
0.500 0.000 0.000
0.500 0.500 0.500
0.000 0.000 0.000
0.000 0.500 0.500
0.500 0.000 0.500
0.500 0.500 0.000
```

energy relative to the elements: -1.02 eV/atom
energy above the most stable polymorph in this dataset: 0.002 eV per atom
VASP energy: -5.40 eV/atom
total magnetic moment: 0.0 μB/f.u.

> Which value of VASP energy does entry 2 give?

-5.40 eV/atom